Here is crystalline TlBiPdRu2 at its relaxed geometry from Alexandria via LeMat-Bulk. Energies are from PBE.

Properties
Energy of formation from the pure elements   1.283 eV/atom

```
5
Lattice="-0.489 0.081 4.921 -4.422 -2.350 -0.400 2.296 -4.371 0.300" Properties=species:S:1:pos:R:3 pbc="T T T"
Ru 1.148 -2.185 0.150
Ru -0.244 0.041 2.461
Tl -2.211 -1.175 -0.200
Bi -1.308 -3.320 2.410
Pd 0.000 0.000 0.000
```

=====

Here is crystalline Hg2BrCl at its relaxed geometry from Alexandria via LeMat-Bulk. Energies are from PBE.

Properties
Raw formation energy   -0.0527 eV/atom

```
4
Lattice="0.000 3.719 3.719 3.719 0.000 3.719 3.719 3.719 0.000" Properties=species:S:1:pos:R:3 pbc="T T T"
Hg 1.859 1.859 1.859
Hg 5.578 5.578 5.578
Br 3.719 3.719 3.719
Cl 0.000 0.000 0.000
```

=====

Here is crystalline PbSe3S at its relaxed geometry from Alexandria via LeMat-Bulk. Energies are from PBE.

Properties
Raw formation energy   0.9920 eV/atom

```
5
Lattice="-3.921 -3.532 -1.749 0.632 -2.998 4.639 -3.890 3.073 2.516" Properties=species:S:1:pos:R:3 pbc="T T T"
Pb 0.000 0.000 0.000
S -3.589 -1.729 2.703
Se 0.316 -1.499 2.319
Se -1.945 1.536 1.258
Se -1.960 -1.766 -0.874
```

=====

Here is crystalline Be2AgSb at its relaxed geometry from Alexandria via LeMat-Bulk. Energies are from PBE.

Properties
Raw formation energy   0.3570 eV/atom

```
4
Lattice="4.226 0.035 -0.092 2.454 3.441 -0.092 0.965 0.502 4.605" Properties=species:S:1:pos:R:3 pbc="T T T"
Sb 3.875 2.016 2.460
Ag 1.900 0.989 0.721
Be 1.003 0.522 4.119
Be 5.654 2.942 3.937
```

=====

Here is crystalline ZrTe2Rh at its relaxed geometry from Alexandria via LeMat-Bulk. Energies are from PBE.

Properties
Raw formation energy   -0.5749 eV/atom

```
4
Lattice="-1.945 -0.507 3.148 -1.093 -3.358 -1.217 5.846 -3.035 3.122" Properties=species:S:1:pos:R:3 pbc="T T T"
Rh 2.690 -4.117 3.213
Te 5.284 -2.743 2.822
Te 0.513 -2.987 2.051
Zr 3.092 -1.605 1.651
```

=====

Here is crystalline BaSrCdIr at its relaxed geometry from Alexandria via LeMat-Bulk. Energies are from PBE.

Properties
Energy of formation from the pure elements   -0.139 eV/atom

```
4
Lattice="-2.591 -3.337 -1.472 4.128 -1.846 3.744 -3.035 3.594 4.029" Properties=species:S:1:pos:R:3 pbc="T T T"
Sr 2.521 -2.258 3.929
Ir 0.114 -2.471 1.834
Ba -0.385 -0.061 4.062
Cd -3.896 -0.115 3.582
```

=====

Here is crystalline Te2Pd7Se2 at its relaxed geometry from Alexandria via LeMat-Bulk. Energies are from PBE.

Properties
Raw formation energy   -0.2141 eV/atom

```
11
Lattice="6.670 0.259 0.296 -0.053 5.652 0.304 -0.053 -0.451 5.642" Properties=species:S:1:pos:R:3 pbc="T T T"
Te -0.053 0.929 4.435
Te -0.053 4.272 1.511
Pd 4.675 5.404 3.585
Pd 1.888 2.625 0.408
Pd 1.888 0.055 2.656
Pd 4.675 2.834 5.833
Pd 3.335 0.129 0.148
Pd 0.245 3.644 4.165
Pd 6.319 1.816 2.076
Se 3.686 1.730 1.978
Se 2.877 3.730 4.264
```

=====

Here is crystalline MgAs2Pb at its relaxed geometry from Alexandria via LeMat-Bulk. Energies are from PBE.

Properties
Energy of formation from the pure elements   -0.104 eV/atom

```
4
Lattice="-2.830 -1.953 2.621 0.816 -1.063 4.110 -2.673 4.750 3.703" Properties=species:S:1:pos:R:3 pbc="T T T"
As -2.559 4.517 3.563
As -2.457 1.101 5.356
Mg -3.514 1.301 7.825
Pb -1.171 0.434 2.608
```

=====

| no. | final energy (eV/atom) | DOS at the Fermi energy (states/eV/atom) |
| --- | --- | --- |
| 1 | -4.7149 | 0.93 |
| 2 | -1.0835 | 0.85 |
| 3 | -2.6658 | 1.37 |
| 4 | -3.2495 | 0.20 |
| 5 | -6.1207 | 0.63 |
| 6 | -3.4843 | 0.48 |
| 7 | -4.7234 | 0.54 |
| 8 | -3.7544 | 0.58 |